No. 1
An optimized crystal structure of Ta2TcSb. Source: Alexandria via LeMat-Bulk, functional PBEsol.

abc: 2.9686 2.9686 8.6144
angles: 90.00 90.00 110.49
Last column: nearest neighbours and their distance in Å.
Element x y z (fractional)
Ta: 0.5000 0.5000 0.7378  2 Tc 2.60, 2 Ta 2.79
Sb: 0.5000 0.5000 0.2587  2 Tc 2.74, 2 Ta 2.83, 4 Sb 2.97
Ta: 0.0000 0.0000 0.9951  6 Ta 2.79-2.97, 2 Sb 2.83
Tc: 0.0000 0.0000 0.5084  2 Ta 2.60, 2 Sb 2.74

Properties
Symmetry ... Cmm2 (35)
E_form (uncorrected) ... 179 meV/atom

---

No. 2
An optimized crystal structure of LaMg2Cd. Source: Alexandria via LeMat-Bulk, functional PBEsol.

abc: 5.2092 5.2092 5.2092
angles: 60.00 60.00 60.00
Last column: nearest neighbours and their distance in Å.
Element x y z (fractional)
Mg: 0.7500 0.7500 0.7500  4 Cd 3.19, 4 Mg 3.19
La: 0.2500 0.2500 0.2500  4 Cd 3.19, 4 Mg 3.19
Cd: 0.5000 0.5000 0.5000  4 Mg 3.19, 4 La 3.19
Mg: 0.0000 0.0000 0.0000  4 La 3.19, 4 Mg 3.19

Properties
Symmetry ... F-43m (216)

---

No. 3
An optimized crystal structure of BaCrRh2. Source: Alexandria via LeMat-Bulk, functional PBEsol.

abc: 4.7109 4.7109 4.7109
angles: 60.00 60.00 60.00
Last column: nearest neighbours and their distance in Å.
Element x y z (fractional)
Cr: 0.5000 0.5000 0.5000  8 Rh 2.88
Rh: 0.7500 0.7500 0.7500  4 Cr 2.88, 4 Ba 2.88
Ba: 0.0000 0.0000 0.0000  8 Rh 2.88
Rh: 0.2500 0.2500 0.2500  4 Ba 2.88, 4 Cr 2.88

Properties
Excess energy over the best structure of this formula in the dataset ... 119.4 meV per atom
Symmetry ... Fm-3m (225)

---

No. 4
An optimized crystal structure of Ba4SrP. Source: Alexandria via LeMat-Bulk, functional PBEsol.

abc: 7.2451 7.2451 7.2451
angles: 60.00 60.00 60.00
Last column: nearest neighbours and their distance in Å.
Element x y z (fractional)
Ba: 0.3776 0.8672 0.3776  6 Ba 3.55-3.70
Sr: 0.0000 0.0000 0.0000  12 Ba 4.26, 4 P 4.44
P: 0.7500 0.7500 0.7500  12 Ba 4.24, 4 Sr 4.44
Ba: 0.3776 0.3776 0.8672  6 Ba 3.55-3.70
Ba: 0.8672 0.3776 0.3776  6 Ba 3.55-3.70
Ba: 0.3776 0.3776 0.3776  6 Ba 3.55-3.70

Properties
Symmetry ... F-43m (216)

---

no.,D(E_F) (states/eV/cell),uncorrected energy (eV/atom)
1,3.3,-10.053
2,1.9,-2.738
3,6.2,-6.522
4,8.5,-2.307